Pr2GeRu | PBE-GGA | optimized geometry Values from VASP.

Structure (Quantum ESPRESSO input):
```
&SYSTEM
  ibrav = 0, nat = 8, ntyp = 3
/
ATOMIC_SPECIES
Pr 140.91 Pr.upf
Ru 101.07 Ru.upf
Ge 72.64 Ge.upf
CELL_PARAMETERS angstrom
3.8874 0.0000 0.0000
0.0000 6.1412 -0.0782
0.0000 -3.1632 8.4147
ATOMIC_POSITIONS crystal
Pr 0.7500 0.2221 0.9425
Pr 0.2500 0.7779 0.0575
Pr 0.2500 0.7844 0.5835
Pr 0.7500 0.2156 0.4165
Ru 0.7500 0.6687 0.7844
Ru 0.2500 0.3313 0.2156
Ge 0.2500 0.3716 0.7170
Ge 0.7500 0.6284 0.2830
```

DOS at the Fermi energy, states/eV per atom: 0.8095
Energy of formation from the pure elements, kJ/mol of atoms: -47
Spin magnetization, μB/f.u.: 0.0